1.
VASP calculation (GGA-PBE) on an optimized crystal structure of Ca2FeTe.

Geometry as POSCAR:
```
Ca2FeTe
1.0
-0.2316 -3.6157 2.3621
3.5602 1.1225 2.0673
-1.4115 3.3609 5.0060
Fe Ca Te
1 2 1
direct
0.0000 0.7000 0.4751 Fe
0.0000 0.9752 0.9252 Ca
0.5000 0.2676 0.3394 Ca
0.5000 0.5573 0.7603 Te
```

Values from the calculation:
- symmetry = Amm2, No. 38
- offset from the most stable computed form (eV per formula unit) = 0.00
- energy relative to the elements, uncorrected (eV per atom) = -0.363

***

2.
VASP calculation (GGA-PBE) on an optimized crystal structure of ZnB2Cl2.

Geometry as POSCAR:
```
ZnB2Cl2
1.0
5.1930 0.0000 0.0000
0.0000 5.1930 0.0000
2.5965 2.5965 2.9869
B Cl Zn
2 2 1
direct
0.6500 0.6500 0.6999 B
0.3500 0.3500 0.3001 B
0.7500 0.2500 0.5000 Cl
0.2500 0.7500 0.5000 Cl
0.0000 0.0000 0.0000 Zn
```

Values from the calculation:
- symmetry = I4/mmm, No. 139
- offset from the most stable computed form (eV per formula unit) = 0.00
- energy relative to the elements, uncorrected (eV per atom) = 0.713

***

3.
VASP calculation (GGA-PBE) on an optimized crystal structure of TlIN2Cl.

Geometry as POSCAR:
```
TlIN2Cl
1.0
-4.5160 0.4812 -0.7120
-0.6388 -4.4273 1.0598
-0.8009 1.5885 6.1532
N Tl I Cl
2 1 1 1
direct
0.0000 0.5000 0.0000 N
0.5000 0.0000 0.0000 N
0.0000 0.0000 0.0000 Tl
0.0000 0.0000 0.5000 I
0.5000 0.5000 0.5000 Cl
```

Values from the calculation:
- symmetry = P4/mmm, No. 123
- offset from the most stable computed form (eV per formula unit) = 0.00
- energy relative to the elements, uncorrected (eV per atom) = 1.703

***

4.
VASP calculation (GGA-PBE) on an optimized crystal structure of LaZrAs2.

Geometry as POSCAR:
```
LaZrAs2
1.0
4.9937 0.0000 0.0000
2.4968 4.3247 0.0000
2.4968 1.4416 4.0773
As La Zr
2 1 1
direct
0.2500 0.2500 0.2500 As
0.0000 0.0000 0.0000 As
0.5000 0.5000 0.5000 La
0.7500 0.7500 0.7500 Zr
```

Values from the calculation:
- symmetry = F-43m, No. 216
- offset from the most stable computed form (eV per formula unit) = 4.55
- energy of formation (meV/atom) = -202.0

***

5.
VASP calculation (GGA-PBE) on an optimized crystal structure of TbInRu.

Geometry as POSCAR:
```
TbInRu
1.0
3.5566 0.0000 0.0000
0.0000 4.6407 0.0000
0.0000 -2.3204 4.0190
In Ru Tb
1 1 1
direct
0.1665 0.0000 0.0000 In
0.1671 0.3333 0.6667 Ru
0.6663 0.6667 0.3333 Tb
```

Values from the calculation:
- symmetry = P-6m2, No. 187
- energy of formation (meV/atom) = -181.7

***

6.
VASP calculation (GGA-PBE) on an optimized crystal structure of TmUTcRu.

Geometry as POSCAR:
```
TmUTcRu
1.0
-4.3677 1.4881 1.2140
-1.1480 0.5257 4.6012
-0.6118 4.3669 1.8223
U Ru Tc Tm
1 1 1 1
direct
0.5000 0.5000 0.5000 U
0.7500 0.7500 0.7500 Ru
0.2500 0.2500 0.2500 Tc
0.0000 0.0000 0.0000 Tm
```

Values from the calculation:
- symmetry = F-43m, No. 216
- energy of formation (meV/atom) = -156.9

***

7.
VASP calculation (GGA-PBE) on an optimized crystal structure of TaCdSb2Te.

Geometry as POSCAR:
```
TaCdSb2Te
1.0
-0.5921 5.2843 -1.0842
-3.3625 0.4913 4.2311
4.1734 1.1214 3.1864
Te Cd Sb Ta
1 1 2 1
direct
0.0000 0.0000 0.5000 Te
0.5000 0.5000 0.5000 Cd
0.5000 0.0000 0.0000 Sb
0.0000 0.5000 0.0000 Sb
0.0000 0.0000 0.0000 Ta
```

Values from the calculation:
- symmetry = P4/mmm, No. 123
- offset from the most stable computed form (eV per formula unit) = 0.00
- energy relative to the elements, uncorrected (eV per atom) = 0.337

***

8.
VASP calculation (GGA-PBE) on an optimized crystal structure of LiZn4Ga3.

Geometry as POSCAR:
```
LiZn4Ga3
1.0
2.8903 0.0000 0.0000
0.0000 10.1663 3.1130
-1.4452 -1.6733 3.9271
Zn Li Ga
4 1 3
direct
0.7563 0.8877 0.5126 Zn
0.7339 0.6263 0.4678 Zn
0.2437 0.1123 0.4874 Zn
0.2661 0.3737 0.5322 Zn
0.5000 0.0000 0.0000 Li
0.0000 0.5000 0.0000 Ga
0.9895 0.2317 0.9789 Ga
0.0105 0.7683 0.0211 Ga
```

Values from the calculation:
- symmetry = C2/m, No. 12
- offset from the most stable computed form (eV per formula unit) = 0.00
- energy of formation (meV/atom) = -37.0

***

9.
VASP calculation (GGA-PBE) on an optimized crystal structure of Be2PPb.

Geometry as POSCAR:
```
Be2PPb
1.0
-0.3688 -1.8366 2.8924
1.5122 -4.6366 -2.7513
4.1981 -2.5734 -1.0987
P Be Pb
1 2 1
direct
0.5000 0.5000 0.5000 P
0.5000 0.5000 0.0000 Be
0.0000 0.0000 0.0000 Be
0.0000 0.0000 0.5000 Pb
```

Values from the calculation:
- symmetry = P2/m, No. 10
- offset from the most stable computed form (eV per formula unit) = 1.89
- energy of formation (meV/atom) = 619.2

***

10.
VASP calculation (GGA-PBE) on an optimized crystal structure of LiSN2F.

Geometry as POSCAR:
```
LiSN2F
1.0
-0.6248 2.5289 2.0024
-3.0174 0.2628 -1.2735
-2.0000 -3.6498 3.9855
Li N S F
1 2 1 1
direct
0.5000 0.5000 0.5000 Li
0.0000 0.5000 0.0000 N
0.5000 0.0000 0.0000 N
0.0000 0.0000 0.0000 S
0.0000 0.0000 0.5000 F
```

Values from the calculation:
- symmetry = P4/mmm, No. 123
- offset from the most stable computed form (eV per formula unit) = 0.00
- energy relative to the elements, uncorrected (eV per atom) = 0.266

***

11.
VASP calculation (GGA-PBE) on an optimized crystal structure of Er2TmCo2.

Geometry as POSCAR:
```
Er2TmCo2
1.0
3.6350 0.0000 1.5484
1.0038 4.9790 2.6844
-0.2935 0.0667 5.7299
Co Tm Er
2 1 2
direct
0.0011 0.1926 0.3053 Co
0.9989 0.8074 0.6947 Co
0.5000 0.5000 0.0000 Tm
0.6955 0.8050 0.3040 Er
0.3045 0.1950 0.6960 Er
```

Values from the calculation:
- symmetry = C2/m, No. 12
- offset from the most stable computed form (eV per formula unit) = 0.00
- energy of formation (meV/atom) = -196.1

***

12.
VASP calculation (GGA-PBE) on an optimized crystal structure of Nb2CdSi.

Geometry as POSCAR:
```
Nb2CdSi
1.0
3.9414 0.0000 0.0000
0.0000 3.9414 0.0000
1.9707 1.9707 9.9013
Cd Nb Si
2 4 2
direct
0.0000 0.0000 0.0000 Cd
0.7500 0.2500 0.5000 Cd
0.8750 0.8601 0.7500 Nb
0.6101 0.1250 0.2500 Nb
0.3750 0.3899 0.7500 Nb
0.1399 0.6250 0.2500 Nb
0.2500 0.7500 0.5000 Si
0.5000 0.5000 0.0000 Si
```

Values from the calculation:
- symmetry = I-42d, No. 122
- energy relative to the elements, uncorrected (eV per atom) = 0.465